# 1
# GGA-PBE CrHgAs2, optimized geometry
data_CrHgAs2
_chemical_formula_sum 'Cr1 Hg1 As2'
_cell_length_a 2.811
_cell_length_b 3.450
_cell_length_c 8.439
_cell_angle_alpha 90.00
_cell_angle_beta 90.00
_cell_angle_gamma 90.00
_symmetry_space_group_name_H-M 'P 1'
_symmetry_Int_Tables_number 1
loop_
_symmetry_equiv_pos_as_xyz
'x,y,z'
loop_
_atom_site_label
_atom_site_type_symbol
_atom_site_fract_x
_atom_site_fract_y
_atom_site_fract_z
_atom_site_occupancy
Cr1 Cr 0.000 0.000 0.000 1
Hg1 Hg 0.500 0.000 0.500 1
As1 As 0.500 0.500 0.169 1
As2 As 0.500 0.500 0.831 1
# - total magnetization (μB per cell) = 2.272
# - symmetry = Pmmm (47)
# - ΔE_f (eV per atom) = 0.052
# - calculated density (g/cm3) = 8.2
# - V (Å³ per atom) = 20.5



# 2
# GGA-PBE Er2Zn2Cu5Ni, optimized geometry
data_Er2Zn2Cu5Ni
_chemical_formula_sum 'Er4 Zn4 Cu10 Ni2'
_cell_length_a 9.574
_cell_length_b 9.574
_cell_length_c 3.451
_cell_angle_alpha 90.00
_cell_angle_beta 90.00
_cell_angle_gamma 90.00
_symmetry_space_group_name_H-M 'P 1'
_symmetry_Int_Tables_number 1
loop_
_symmetry_equiv_pos_as_xyz
'x,y,z'
loop_
_atom_site_label
_atom_site_type_symbol
_atom_site_fract_x
_atom_site_fract_y
_atom_site_fract_z
_atom_site_occupancy
Er1 Er 0.177 0.323 0.000 1
Er2 Er 0.323 0.823 0.000 1
Er3 Er 0.677 0.177 0.000 1
Er4 Er 0.823 0.677 0.000 1
Zn1 Zn 0.123 0.623 0.000 1
Zn2 Zn 0.377 0.123 0.000 1
Zn3 Zn 0.623 0.877 0.000 1
Zn4 Zn 0.877 0.377 0.000 1
Cu1 Cu 0.000 0.500 0.500 1
Cu2 Cu 0.049 0.812 0.500 1
Cu3 Cu 0.188 0.049 0.500 1
Cu4 Cu 0.312 0.549 0.500 1
Cu5 Cu 0.451 0.312 0.500 1
Cu6 Cu 0.500 0.000 0.500 1
Cu7 Cu 0.549 0.688 0.500 1
Cu8 Cu 0.688 0.451 0.500 1
Cu9 Cu 0.812 0.951 0.500 1
Cu10 Cu 0.951 0.188 0.500 1
Ni1 Ni 0.000 0.000 0.000 1
Ni2 Ni 0.500 0.500 0.000 1
# - total magnetization (μB per cell) = 0.000
# - symmetry = P4/mbm (127)
# - ΔE_f (eV per atom) = -0.076
# - calculated density (g/cm3) = 8.8
# - V (Å³ per atom) = 15.8